This record from the Alexandria database describes a geometry-optimized PmHg4Pb structure. The functional is PBE-GGA.

a = 7.2361 Å, b = 7.2361 Å, c = 4.8188 Å
α = 90.03°, β = 90.03°, γ = 141.98°
Last column: nearest neighbours and their distance in Å.
Fractional positions:
Pm: 0.0000 0.0000 0.0000  8 Hg 3.34, 4 Pb 3.37
Hg: 0.1691 0.8309 0.5000  8 Hg 3.23-3.37, 2 Pb 3.30, 2 Pm 3.34
Hg: 0.3272 0.6728 0.0000  8 Hg 3.17-3.37, 2 Pm 3.34, 2 Pb 3.38
Hg: 0.6728 0.3272 0.0000  8 Hg 3.17-3.37, 2 Pm 3.34, 2 Pb 3.38
Hg: 0.8309 0.1691 0.5000  8 Hg 3.23-3.37, 2 Pb 3.30, 2 Pm 3.34
Pb: 0.5000 0.5000 0.5000  8 Hg 3.30-3.38, 4 Pm 3.37

Summary:
- Calculated total energy: -11.132 eV for the cell shown
- Space-group type: C2/m, No. 12
- Formation enthalpy at 0 K: -0.244 eV/atom